! BC3 PBE optimized geometry; values from VASP
&SYSTEM
  ibrav = 0, nat = 12, ntyp = 2
/
ATOMIC_SPECIES
B 10.81 B.upf
C 12.01 C.upf
CELL_PARAMETERS angstrom
-2.134 3.542 -1.397
-2.194 1.843 -3.293
-3.778 -5.117 4.705
ATOMIC_POSITIONS crystal
B 0.648 0.648 0.327
B 0.457 0.457 0.394
B 0.196 0.196 0.194
C 0.383 0.383 0.158
C 0.015 0.015 0.983
C 0.859 0.859 0.034
C 0.671 0.671 0.834
C 0.505 0.505 0.868
C 0.320 0.320 0.671
C 0.161 0.161 0.715
C 0.976 0.976 0.516
C 0.810 0.810 0.556
! Relative energy among the computed polymorphs ... 23 meV/atom

## LiZn4Hg (PBE)

Data for a geometry-optimized LiZn4Hg structure. Values from VASP.

Quantum ESPRESSO input file:
```
&SYSTEM
  ibrav = 0, nat = 6, ntyp = 3
/
ATOMIC_SPECIES
Hg 200.59 Hg.upf
Li 6.94 Li.upf
Zn 65.41 Zn.upf
CELL_PARAMETERS angstrom
5.186 0.000 0.000
2.593 4.491 0.000
2.593 1.497 4.235
ATOMIC_POSITIONS crystal
Hg 0.250 0.250 0.250
Li 0.000 0.000 0.000
Zn 0.124 0.625 0.625
Zn 0.625 0.625 0.625
Zn 0.625 0.124 0.625
Zn 0.625 0.625 0.124
```

Number 1: energy relative to the elements 0.2641 eV/atom, ρ 3.21 g/cm3. Number 2: energy relative to the elements -0.0618 eV/atom, ρ 7.90 g/cm3.